1.
BaCd2Sb SCAN single point on PBEsol structure; raw formation energy = -0.358 eV/atom; space group = I4/mmm; E = -34.768 eV per atom; calculated volume = 115.4 Å³/cell
1.0
4.916 0.000 0.000
0.000 4.916 0.000
-2.458 -2.458 4.775
Cd Sb Ba
2 1 1
Cartesian
0.000 2.458 2.387 Cd
2.458 0.000 2.387 Cd
2.458 2.458 0.000 Sb
0.000 0.000 0.000 Ba

2.
Y2SbO SCAN single point on PBEsol structure; raw formation energy = -1.203 eV/atom; space group = Fm-3m; E = -25.998 eV per atom; calculated volume = 83.7 Å³/cell
1.0
-0.109 4.905 0.203
-3.716 2.282 2.257
0.762 2.298 4.272
O Y Sb
1 2 1
Cartesian
0.000 0.000 0.000 O
-2.297 7.114 5.049 Y
-0.766 2.371 1.683 Y
-1.532 4.743 3.366 Sb

3.
TcSb SCAN single point on PBEsol structure; raw formation energy = 0.722 eV/atom; excess energy over the best structure of this formula in the dataset = 659 meV per atom; space group = P6_3/mmc; E = -35.438 eV per atom; calculated volume = 92.1 Å³/cell
1.0
4.488 0.000 0.000
-2.244 3.887 0.000
0.000 0.000 5.282
Sb Tc
2 2
Cartesian
0.000 2.591 3.962 Sb
2.244 1.296 1.321 Sb
2.244 1.296 3.962 Tc
0.000 2.591 1.321 Tc

4.
KCoPt2 SCAN single point on PBEsol structure; excess energy over the best structure of this formula in the dataset = 485 meV per atom; space group = I-4m2; E = -40.820 eV per atom; calculated volume = 65.9 Å³/cell; calculated formation energy = 0.685 eV per atom
1.0
-0.593 -3.888 1.432
4.555 1.385 -0.469
1.982 1.004 3.547
K Pt Co
1 2 1
Cartesian
3.319 -1.470 3.500 K
0.000 0.000 0.000 Pt
2.625 -0.028 1.010 Pt
0.694 -1.442 2.489 Co

5.
Rb2SbAuI6 SCAN single point on PBEsol structure; raw formation energy = -0.766 eV/atom; space group = Fm-3m; E = -37.601 eV per atom; calculated volume = 403.1 Å³/cell
1.0
8.292 0.000 0.000
4.146 7.181 0.000
4.146 2.394 6.770
I Rb Sb Au
6 2 1 1
Cartesian
10.325 5.961 1.725 I
8.292 2.440 1.725 I
8.292 7.135 5.045 I
10.325 3.613 5.045 I
6.259 5.961 1.725 I
6.259 3.613 5.045 I
12.437 7.181 5.078 Rb
4.146 2.394 1.693 Rb
0.000 0.000 0.000 Sb
8.292 4.787 3.385 Au

6.
NiPtSeBr2 SCAN single point on PBEsol structure; raw formation energy = 0.592 eV/atom; space group = P4/mmm; E = -28.481 eV per atom; calculated volume = 123.8 Å³/cell
1.0
-0.801 4.659 -1.243
-2.157 -1.515 -4.287
-4.471 -0.154 2.304
Ni Se Br Pt
1 1 2 1
Cartesian
-3.714 1.495 -1.613 Ni
-0.401 2.329 -0.622 Se
-2.236 -0.077 1.152 Br
-1.078 -0.757 -2.143 Br
0.000 0.000 0.000 Pt

7.
TiCl4 SCAN single point on PBEsol structure; raw formation energy = -1.731 eV/atom; space group = P2_1/c; E = -11.320 eV per atom; calculated volume = 627.7 Å³/cell
1.0
6.614 0.000 0.000
0.000 9.874 -0.054
0.000 -2.116 9.623
Cl Ti
16 4
Cartesian
3.811 5.726 5.176 Cl
5.859 0.661 5.550 Cl
6.082 7.377 7.698 Cl
0.532 0.381 1.872 Cl
2.802 2.032 4.394 Cl
0.755 7.097 4.019 Cl
0.499 4.170 6.640 Cl
2.552 6.039 8.831 Cl
3.839 8.435 2.886 Cl
2.775 -0.677 6.683 Cl
3.806 2.530 7.741 Cl
6.109 6.784 0.364 Cl
2.808 5.228 1.828 Cl
0.505 0.974 9.205 Cl
4.062 1.719 0.738 Cl
6.115 3.588 2.929 Cl
0.505 5.568 8.294 Ti
6.108 2.190 1.275 Ti
2.802 6.626 3.482 Ti
3.812 1.132 6.087 Ti

8.
AsRuPb2 SCAN single point on PBEsol structure; space group = C2/m; E = -51.009 eV per atom; calculated volume = 82.7 Å³/cell; calculated formation energy = 0.636 eV per atom
1.0
-0.381 0.520 -3.239
-3.758 -3.374 -0.106
-2.545 4.253 0.977
Pb As Ru
2 1 1
Cartesian
-1.272 2.127 0.488 Pb
-1.879 -1.687 -0.053 Pb
-0.191 0.260 -1.619 As
-3.342 0.700 -1.184 Ru

9.
Sr2CaSb SCAN single point on PBEsol structure; raw formation energy = -0.551 eV/atom; space group = P2/m; E = -23.420 eV per atom; calculated volume = 145.6 Å³/cell
1.0
-2.818 -1.722 2.866
-0.625 -3.412 -2.665
5.720 -3.694 3.405
Sr Ca Sb
2 1 1
Cartesian
4.509 -2.915 2.682 Sr
0.586 -4.191 -1.943 Sr
1.138 -4.414 1.803 Ca
-1.722 -2.567 0.100 Sb

10.
TlZnFe2 SCAN single point on PBEsol structure; excess energy over the best structure of this formula in the dataset = 72 meV per atom; space group = I-4m2; E = -30.164 eV per atom; calculated volume = 57.4 Å³/cell; calculated formation energy = 0.369 eV per atom
1.0
3.820 0.000 0.000
0.000 3.820 0.000
-1.910 -1.910 3.937
Fe Tl Zn
2 1 1
Cartesian
0.000 0.000 0.000 Fe
1.910 0.000 1.968 Fe
1.910 1.910 0.000 Tl
0.000 1.910 1.968 Zn

11.
Sr2Al SCAN single point on PBEsol structure; space group = Fd-3m; E = -17.475 eV per atom; calculated volume = 864.2 Å³/cell; calculated formation energy = -0.041 eV per atom
1.0
10.691 0.000 0.000
5.346 9.259 0.000
5.346 3.086 8.730
Sr Al
16 8
Cartesian
13.969 8.065 8.236 Sr
16.037 11.647 8.236 Sr
5.346 6.173 1.091 Sr
13.969 10.453 4.859 Sr
16.037 6.871 4.859 Sr
12.760 4.979 6.053 Sr
8.019 1.543 1.091 Sr
8.623 7.367 2.676 Sr
5.346 3.086 5.456 Sr
8.623 4.979 6.053 Sr
18.105 8.065 8.236 Sr
10.691 8.561 6.053 Sr
10.691 3.785 2.676 Sr
2.673 1.543 1.091 Sr
18.105 10.453 4.859 Sr
12.760 7.367 2.676 Sr
19.851 11.461 8.104 Al
16.037 4.856 8.104 Al
6.878 3.971 2.808 Al
5.346 3.086 0.306 Al
16.037 9.259 1.877 Al
12.224 11.461 8.104 Al
3.814 3.971 2.808 Al
5.346 1.317 2.808 Al

12.
ZnSi2Br SCAN single point on PBEsol structure; raw formation energy = 0.281 eV/atom; excess energy over the best structure of this formula in the dataset = 186 meV per atom; space group = C2/m; E = -12.971 eV per atom; calculated volume = 82.8 Å³/cell
1.0
-3.373 -0.567 0.050
0.423 -2.771 -2.871
1.183 -2.761 5.642
Br Si Zn
1 2 1
Cartesian
-1.475 -1.669 -1.411 Br
-2.153 -4.392 1.118 Si
0.385 -1.706 1.703 Si
0.000 0.000 0.000 Zn

> Which of these has the highest calculated volume?

Sr2Al